First-principles (PBE) data for crystalline ReAgPd2 at its relaxed geometry, as listed in the Alexandria database.

abc: 6.319 6.319 6.319
angles: 90.00 90.00 90.00
Space group Fm-3m (No. 225)
Inequivalent atoms, fractional coordinates:
Re 0.000 0.000 0.000 x4
Ag 0.000 0.000 0.500 x4
Pd 0.250 0.250 0.250 x8

## Properties
- DFT formation energy: 0.497 eV per atom
- Excess energy over the best structure of this formula in the dataset: 438.3 meV per atom
- Calculated total energy: -94.8 eV/cell